Density functional theory data (PBE+U) for NaMoO3 after structural relaxation.

Unit cell a=5.195 b=7.124 c=7.812 alpha=118.93 beta=90.00 gamma=90.00
Atoms (fractional coordinates):
Na: 0.246 0.972 0.371
Na: 0.746 0.528 0.129
Na: 0.754 0.028 0.629
Na: 0.254 0.472 0.871
O: 0.417 0.359 0.539
O: 0.917 0.141 0.961
O: 0.335 0.087 0.740
O: 0.076 0.724 0.654
O: 0.083 0.859 0.039
O: 0.665 0.913 0.260
O: 0.576 0.776 0.846
O: 0.924 0.276 0.346
O: 0.424 0.224 0.154
O: 0.583 0.641 0.461
O: 0.835 0.413 0.760
O: 0.165 0.587 0.240
Mo: 0.724 0.017 0.092
Mo: 0.776 0.517 0.592
Mo: 0.276 0.983 0.908
Mo: 0.224 0.483 0.408

Calculated values
E	-6.320	eV per atom